# LiTa2Sb (GGA-PBEsol, relaxed)
data_LiTa2Sb
_space_group_name_H-M_alt 'I m m m'
_space_group_IT_number 71
_space_group_name_Hall '-I 2 2'
_cell_length_a 3.608
_cell_length_b 4.257
_cell_length_c 8.946
_cell_angle_alpha 90.00
_cell_angle_beta 90.00
_cell_angle_gamma 90.00
loop_
_atom_site_label
_atom_site_fract_x
_atom_site_fract_y
_atom_site_fract_z
Li1 0.000 0.000 0.000
Ta1 0.000 0.500 0.253
Sb1 0.000 0.000 0.500
# calculated total energy	-7.87	eV per atom
# uncorrected formation energy	32.8	meV/atom